Computed, not measured: a relaxed Th7In2Ir2 crystal at the PBE level of DFT.

```
Th7In2Ir2
1.0
4.210 -5.706 0.000
4.210 5.706 0.000
0.000 0.000 7.014
Th In Ir
7 2 2
Cartesian
0.000 0.000 0.000
2.105 2.853 1.851
2.105 2.853 5.163
2.105 -2.853 1.851
2.105 -2.853 5.163
4.210 0.000 1.699
4.210 0.000 5.315
1.414 0.000 3.507
7.005 0.000 3.507
4.210 2.655 0.000
4.210 -2.655 0.000
```

Calculated values
M_tot ... 0.00 μB/f.u.
Space-group type ... Cmmm
Total DFT energy (no corrections) ... -78.38 eV for the cell shown